The following is a DFT calculation (PBE) of a relaxed structure of Ta2Nb6ReMo2.

Output
- energy (eV per cell) = -326.69
- mass density (Mg/m³) = 9.42
- calculated formation energy (eV per atom) = 0.849

abc: 5.4901 5.4901 26.2840
angles: 90.00 90.00 120.00
Space group R-3m (No. 166, hexagonal axes)
Inequivalent atoms, fractional coordinates:
Ta 0.0000 0.0000 0.1661 (multiplicity 6)
Nb 0.0050 0.5025 0.4114 (multiplicity 18)
Re 0.0000 0.0000 0.0000 (multiplicity 3)
Mo 0.0000 0.0000 0.3503 (multiplicity 6)


The following is a DFT calculation (PBE) of a relaxed structure of NbRe2TcMo.

Output
- energy (eV per cell) = -47.13
- mass density (Mg/m³) = 11.05
- calculated formation energy (eV per atom) = 1.806
- excess energy over the best structure of this formula in the dataset (eV per atom) = 0.000

abc: 4.664 4.664 4.554
angles: 90.00 90.00 90.00
Space group P4/mmm (No. 123)
Inequivalent atoms, fractional coordinates:
Nb 0.000 0.000 0.000 (multiplicity 1)
Re 0.000 0.500 0.500 (multiplicity 2)
Tc 0.500 0.500 0.000 (multiplicity 1)
Mo 0.500 0.500 0.500 (multiplicity 1)


The following is a DFT calculation (PBE) of a relaxed structure of NbRe2TcMo.

Output
- energy (eV per cell) = -44.41
- mass density (Mg/m³) = 10.72
- calculated formation energy (eV per atom) = 2.350
- excess energy over the best structure of this formula in the dataset (eV per atom) = 0.544

abc: 4.689 4.689 4.645
angles: 90.00 90.00 90.00
Space group P4/mmm (No. 123)
Inequivalent atoms, fractional coordinates:
Nb 0.000 0.000 0.000 (multiplicity 1)
Re 0.000 0.500 0.000 (multiplicity 2)
Tc 0.500 0.500 0.500 (multiplicity 1)
Mo 0.000 0.000 0.500 (multiplicity 1)


The following is a DFT calculation (PBE) of a relaxed structure of NbVReMo.

Output
- energy (eV per cell) = -173.38
- mass density (Mg/m³) = 11.40
- calculated formation energy (eV per atom) = -0.219

abc: 6.285 6.285 6.285
angles: 90.00 90.00 90.00
Space group F-43m (No. 216)
Inequivalent atoms, fractional coordinates:
Nb 0.000 0.000 0.000 (multiplicity 4)
V 0.000 0.000 0.500 (multiplicity 4)
Re 0.250 0.250 0.250 (multiplicity 4)
Mo 0.250 0.250 0.750 (multiplicity 4)


The following is a DFT calculation (PBE) of a relaxed structure of Nb2ReMo6W2.

Output
- energy (eV per cell) = -328.27
- mass density (Mg/m³) = 9.79
- calculated formation energy (eV per atom) = 1.278

abc: 6.8314 6.8314 16.5676
angles: 90.00 90.00 120.00
Space group R-3m (No. 166, hexagonal axes)
Inequivalent atoms, fractional coordinates:
Nb 0.0000 0.0000 0.2460 (multiplicity 6)
Re 0.0000 0.0000 0.5000 (multiplicity 3)
Mo 0.0605 0.5302 0.2948 (multiplicity 18)
W 0.0000 0.0000 0.0891 (multiplicity 6)


The following is a DFT calculation (PBE) of a relaxed structure of Nb2Re2Mo6W.

Output
- energy (eV per cell) = -322.30
- mass density (Mg/m³) = 9.95
- calculated formation energy (eV per atom) = 1.413

abc: 6.4633 6.4633 18.2383
angles: 90.00 90.00 120.00
Space group R-3m (No. 166, hexagonal axes)
Inequivalent atoms, fractional coordinates:
Nb 0.0000 0.0000 0.1349 (multiplicity 6)
Re 0.0000 0.0000 0.4320 (multiplicity 6)
Mo 0.0759 0.5380 0.9344 (multiplicity 18)
W 0.0000 0.0000 0.0000 (multiplicity 3)


The following is a DFT calculation (PBE) of a relaxed structure of NbReMo2W.

Output
- energy (eV per cell) = -223.59
- mass density (Mg/m³) = 12.88
- calculated formation energy (eV per atom) = 0.247

abc: 3.151 16.953 6.321
angles: 90.00 90.00 90.00
Space group Cmcm (No. 63)
Inequivalent atoms, fractional coordinates:
Nb 0.000 0.000 0.000 (multiplicity 4)
Re 0.000 0.408 0.250 (multiplicity 4)
Mo 0.000 0.187 0.526 (multiplicity 8)
W 0.000 0.396 0.750 (multiplicity 4)


The following is a DFT calculation (PBE) of a relaxed structure of Nb2ReMoW6.

Output
- energy (eV per cell) = -344.36
- mass density (Mg/m³) = 15.06
- calculated formation energy (eV per atom) = 0.635

abc: 7.7946 7.7946 9.8782
angles: 90.00 90.00 120.00
Space group R3 (No. 146, hexagonal axes)
Inequivalent atoms, fractional coordinates:
Nb 0.0000 0.0000 0.0000 (multiplicity 3)
Nb 0.0000 0.0000 0.4998 (multiplicity 3)
Re 0.0000 0.0000 0.2520 (multiplicity 3)
Mo 0.0000 0.0000 0.7483 (multiplicity 3)
W 0.0060 0.6692 0.9067 (multiplicity 9)
W 0.0076 0.3347 0.7759 (multiplicity 9)


The following is a DFT calculation (PBE) of a relaxed structure of ZrNbReMo.

Output
- energy (eV per cell) = -170.12
- mass density (Mg/m³) = 11.09
- calculated formation energy (eV per atom) = -0.158

abc: 6.535 6.535 6.535
angles: 90.00 90.00 90.00
Space group F-43m (No. 216)
Inequivalent atoms, fractional coordinates:
Zr 0.000 0.000 0.000 (multiplicity 4)
Nb 0.000 0.000 0.500 (multiplicity 4)
Re 0.250 0.250 0.750 (multiplicity 4)
Mo 0.250 0.250 0.250 (multiplicity 4)


The following is a DFT calculation (PBE) of a relaxed structure of ZrNb2ReMo.

Output
- energy (eV per cell) = -46.18
- mass density (Mg/m³) = 8.54
- calculated formation energy (eV per atom) = 1.157

abc: 4.749 4.749 4.824
angles: 90.00 90.00 90.00
Space group P4/mmm (No. 123)
Inequivalent atoms, fractional coordinates:
Zr 0.000 0.000 0.000 (multiplicity 1)
Nb 0.000 0.500 0.500 (multiplicity 2)
Re 0.500 0.500 0.000 (multiplicity 1)
Mo 0.500 0.500 0.500 (multiplicity 1)


The following is a DFT calculation (PBE) of a relaxed structure of Nb2MoRh.

Output
- energy (eV per cell) = -114.30
- mass density (Mg/m³) = 9.30
- calculated formation energy (eV per atom) = 0.055

abc: 3.0851 3.0851 24.9918
angles: 90.00 90.00 120.00
Space group R-3m (No. 166, hexagonal axes)
Inequivalent atoms, fractional coordinates:
Nb 0.0000 0.0000 0.2491 (multiplicity 6)
Mo 0.0000 0.0000 0.5000 (multiplicity 3)
Rh 0.0000 0.0000 0.0000 (multiplicity 3)


The following is a DFT calculation (PBE) of a relaxed structure of Nb6MoRh.

Output
- energy (eV per cell) = -159.97
- mass density (Mg/m³) = 9.01
- calculated formation energy (eV per atom) = -0.173
- excess energy over the best structure of this formula in the dataset (eV per atom) = 0.000

abc: 4.604 4.604 13.156
angles: 90.00 90.00 90.00
Space group I4/mmm (No. 139)
Inequivalent atoms, fractional coordinates:
Nb 0.000 0.000 0.248 (multiplicity 4)
Nb 0.000 0.500 0.123 (multiplicity 8)
Mo 0.000 0.000 0.000 (multiplicity 2)
Rh 0.000 0.000 0.500 (multiplicity 2)


The following is a DFT calculation (PBE) of a relaxed structure of Nb14MoRh.

Output
- energy (eV per cell) = -161.05
- mass density (Mg/m³) = 8.75
- calculated formation energy (eV per atom) = -0.118

abc: 6.566 6.566 6.602
angles: 90.00 90.00 90.00
Space group P4/mmm (No. 123)
Inequivalent atoms, fractional coordinates:
Nb 0.000 0.000 0.000 (multiplicity 1)
Nb 0.000 0.500 0.000 (multiplicity 2)
Nb 0.000 0.500 0.500 (multiplicity 2)
Nb 0.249 0.249 0.253 (multiplicity 8)
Nb 0.500 0.500 0.000 (multiplicity 1)
Mo 0.000 0.000 0.500 (multiplicity 1)
Rh 0.500 0.500 0.500 (multiplicity 1)


The following is a DFT calculation (PBE) of a relaxed structure of Nb3MoRh.

Output
- energy (eV per cell) = -41.65
- mass density (Mg/m³) = 7.36
- calculated formation energy (eV per atom) = 1.347
- excess energy over the best structure of this formula in the dataset (eV per atom) = 0.020

abc: 4.758 4.758 4.758
angles: 90.00 90.00 90.00
Space group Pm-3m (No. 221)
Inequivalent atoms, fractional coordinates:
Nb 0.000 0.000 0.500 (multiplicity 3)
Mo 0.000 0.000 0.000 (multiplicity 1)
Rh 0.500 0.500 0.500 (multiplicity 1)


The following is a DFT calculation (PBE) of a relaxed structure of Nb2MoRh9.

Output
- energy (eV per cell) = -102.10
- mass density (Mg/m³) = 11.35
- calculated formation energy (eV per atom) = -0.414

abc: 3.891 3.891 11.678
angles: 90.00 90.00 90.00
Space group P4/mmm (No. 123)
Inequivalent atoms, fractional coordinates:
Nb 0.000 0.000 0.166 (multiplicity 2)
Mo 0.000 0.000 0.500 (multiplicity 1)
Rh 0.000 0.500 0.000 (multiplicity 2)
Rh 0.000 0.500 0.337 (multiplicity 4)
Rh 0.500 0.500 0.168 (multiplicity 2)
Rh 0.500 0.500 0.500 (multiplicity 1)


The following is a DFT calculation (PBE) of a relaxed structure of Nb2MoRh2.

Output
- energy (eV per cell) = -92.25
- mass density (Mg/m³) = 9.74
- calculated formation energy (eV per atom) = -0.090

abc: 7.553 7.553 2.915
angles: 90.00 90.00 90.00
Space group P4/mbm (No. 127)
Inequivalent atoms, fractional coordinates:
Nb 0.170 0.330 0.000 (multiplicity 4)
Mo 0.000 0.000 0.500 (multiplicity 2)
Rh 0.129 0.629 0.500 (multiplicity 4)


The following is a DFT calculation (PBE) of a relaxed structure of Nb2MoRh7.

Output
- energy (eV per cell) = -159.31
- mass density (Mg/m³) = 9.68
- calculated formation energy (eV per atom) = 0.278

abc: 8.207 15.111 2.771
angles: 90.00 90.00 90.00
Space group Cmmm (No. 65)
Inequivalent atoms, fractional coordinates:
Nb 0.000 0.173 0.000 (multiplicity 4)
Mo 0.000 0.500 0.500 (multiplicity 2)
Rh 0.000 0.000 0.000 (multiplicity 2)
Rh 0.000 0.319 0.500 (multiplicity 4)
Rh 0.224 0.407 0.000 (multiplicity 8)


The following is a DFT calculation (PBE) of a relaxed structure of Nb4MoRh5.

Output
- energy (eV per cell) = -91.65
- mass density (Mg/m³) = 10.34
- calculated formation energy (eV per atom) = -0.378

abc: 2.838 3.889 14.295
angles: 90.00 90.00 90.00
Space group Pmmm (No. 47)
Inequivalent atoms, fractional coordinates:
Nb 0.000 0.000 0.101 (multiplicity 2)
Nb 0.000 0.000 0.306 (multiplicity 2)
Mo 0.000 0.000 0.500 (multiplicity 1)
Rh 0.500 0.500 0.000 (multiplicity 1)
Rh 0.500 0.500 0.202 (multiplicity 2)
Rh 0.500 0.500 0.404 (multiplicity 2)


The following is a DFT calculation (PBE) of a relaxed structure of Nb2MoRh.

Output
- energy (eV per cell) = -39.35
- mass density (Mg/m³) = 9.59
- calculated formation energy (eV per atom) = -0.257

abc: 3.239 3.239 6.348
angles: 90.00 90.00 90.00
Space group P4/mmm (No. 123)
Inequivalent atoms, fractional coordinates:
Nb 0.000 0.000 0.244 (multiplicity 2)
Mo 0.500 0.500 0.000 (multiplicity 1)
Rh 0.500 0.500 0.500 (multiplicity 1)


The following is a DFT calculation (PBE) of a relaxed structure of Nb4Mo2Rh.

Output
- energy (eV per cell) = -137.14
- mass density (Mg/m³) = 8.61
- calculated formation energy (eV per atom) = 0.103

abc: 6.321 6.321 6.431
angles: 90.00 90.00 90.00
Space group I4/mmm (No. 139)
Inequivalent atoms, fractional coordinates:
Nb 0.250 0.250 0.250 (multiplicity 8)
Mo 0.000 0.500 0.000 (multiplicity 4)
Rh 0.000 0.000 0.000 (multiplicity 2)


The following is a DFT calculation (PBE) of a relaxed structure of Nb2MoRh.

Output
- energy (eV per cell) = -144.20
- mass density (Mg/m³) = 8.95
- calculated formation energy (eV per atom) = 0.568

abc: 3.811 3.811 19.651
angles: 90.00 90.00 90.00
Space group I-42d (No. 122)
Inequivalent atoms, fractional coordinates:
Nb 0.247 0.250 0.125 (multiplicity 8)
Mo 0.000 0.000 0.000 (multiplicity 4)
Rh 0.000 0.000 0.500 (multiplicity 4)


The following is a DFT calculation (PBE) of a relaxed structure of NbMo3Rh.

Output
- energy (eV per cell) = -40.34
- mass density (Mg/m³) = 7.85
- calculated formation energy (eV per atom) = 1.914
- excess energy over the best structure of this formula in the dataset (eV per atom) = 0.321

abc: 4.677 4.677 4.677
angles: 90.00 90.00 90.00
Space group Pm-3m (No. 221)
Inequivalent atoms, fractional coordinates:
Nb 0.000 0.000 0.000 (multiplicity 1)
Mo 0.000 0.000 0.500 (multiplicity 3)
Rh 0.500 0.500 0.500 (multiplicity 1)


The following is a DFT calculation (PBE) of a relaxed structure of Nb2MoRh.

Output
- energy (eV per cell) = -72.91
- mass density (Mg/m³) = 9.04
- calculated formation energy (eV per atom) = 0.466

abc: 2.768 5.005 10.194
angles: 90.00 90.00 90.00
Space group Immm (No. 71)
Inequivalent atoms, fractional coordinates:
Nb 0.000 0.000 0.242 (multiplicity 4)
Mo 0.000 0.000 0.500 (multiplicity 2)
Rh 0.000 0.000 0.000 (multiplicity 2)


The following is a DFT calculation (PBE) of a relaxed structure of NbMo3Rh.

Output
- energy (eV per cell) = -41.95
- mass density (Mg/m³) = 7.94
- calculated formation energy (eV per atom) = 1.594
- excess energy over the best structure of this formula in the dataset (eV per atom) = 0.000

abc: 4.659 4.659 4.659
angles: 90.00 90.00 90.00
Space group Pm-3m (No. 221)
Inequivalent atoms, fractional coordinates:
Nb 0.000 0.000 0.000 (multiplicity 1)
Mo 0.000 0.500 0.500 (multiplicity 3)
Rh 0.500 0.500 0.500 (multiplicity 1)


The following is a DFT calculation (PBE) of a relaxed structure of Nb6MoRh.

Output
- energy (eV per cell) = -79.70
- mass density (Mg/m³) = 8.88
- calculated formation energy (eV per atom) = -0.137
- excess energy over the best structure of this formula in the dataset (eV per atom) = 0.036

abc: 5.207 5.210 5.210
angles: 90.00 90.07 90.00
Space group P2/m (No. 10)
Inequivalent atoms, fractional coordinates:
Nb 0.000 0.250 0.000 (multiplicity 2)
Nb 0.250 0.000 0.500 (multiplicity 2)
Nb 0.499 0.500 0.750 (multiplicity 2)
Mo 0.500 0.000 0.000 (multiplicity 1)
Rh 0.000 0.500 0.500 (multiplicity 1)